BaSrTl2: optimized geometry, GGA-PBE.

Structure (CIF):
```
data_BaSrTl2
_chemical_formula_sum 'Ba2 Sr2 Tl4'
_space_group_name_H-M_alt 'I m m m'
_space_group_IT_number 71
_space_group_name_Hall '-I 2 2'
_cell_length_a 3.9208
_cell_length_b 6.7993
_cell_length_c 13.9530
_cell_angle_alpha 90.00
_cell_angle_beta 90.00
_cell_angle_gamma 90.00
loop_
_atom_site_label
_atom_site_type_symbol
_atom_site_fract_x
_atom_site_fract_y
_atom_site_fract_z
_atom_site_occupancy
Ba1 Ba 0.0000 0.0000 0.0000 1
Sr1 Sr 0.0000 0.0000 0.5000 1
Tl1 Tl 0.0000 0.0000 0.2525 1
```

Computed properties:
Magnetic moment: 0.0006 μB per atom
Formation energy: 0.83 eV per formula unit

***

AsH2Br: optimized geometry, GGA-PBE.

Structure (CIF):
```
data_AsH2Br
_chemical_formula_sum 'As4 H8 Br4'
_space_group_name_H-M_alt 'I 41/a m d'
_space_group_IT_number 141
_cell_length_a 5.6120
_cell_length_b 5.6120
_cell_length_c 7.9969
_cell_angle_alpha 90.00
_cell_angle_beta 90.00
_cell_angle_gamma 90.00
loop_
_space_group_symop_operation_xyz
'x,y,z'
'-x,-y,-z'
'-y+1/4,x+3/4,z+1/4'
'y+1/4,-x+3/4,-z+1/4'
'-x+1/2,-y,z+1/2'
'x+1/2,y,-z+1/2'
'y+1/4,-x+1/4,z+3/4'
'-y+1/4,x+1/4,-z+3/4'
'x,-y,-z'
'-x,y,z'
'-y+1/4,-x+1/4,-z+3/4'
'y+1/4,x+1/4,z+3/4'
'-x+1/2,y,-z+1/2'
'x+1/2,-y,z+1/2'
'y+1/4,x+3/4,-z+1/4'
'-y+1/4,-x+3/4,z+1/4'
'x+1/2,y+1/2,z+1/2'
'-x+1/2,-y+1/2,-z+1/2'
'-y+3/4,x+1/4,z+3/4'
'y+3/4,-x+1/4,-z+3/4'
'-x,-y+1/2,z'
'x,y+1/2,-z'
'y+3/4,-x+3/4,z+1/4'
'-y+3/4,x+3/4,-z+1/4'
'x+1/2,-y+1/2,-z+1/2'
'-x+1/2,y+1/2,z+1/2'
'-y+3/4,-x+3/4,-z+1/4'
'y+3/4,x+3/4,z+1/4'
'-x,y+1/2,-z'
'x,-y+1/2,z'
'y+3/4,x+1/4,-z+3/4'
'-y+3/4,-x+1/4,z+3/4'
loop_
_atom_site_label
_atom_site_type_symbol
_atom_site_fract_x
_atom_site_fract_y
_atom_site_fract_z
_atom_site_occupancy
As1 As 0.0000 0.2500 0.3750 1
H1 H 0.0000 0.0000 0.5000 1
Br1 Br 0.0000 0.2500 0.8750 1
```

Computed properties:
Magnetic moment: 0.0000 μB per atom
Distance to the lowest polymorph of the same formula: 17.4 kJ per mole of atoms

***

GdTlGaAu: optimized geometry, GGA-PBE.

Structure (CIF):
```
data_GdTlGaAu
_chemical_formula_sum 'Gd4 Tl4 Ga4 Au4'
_space_group_name_H-M_alt 'F -4 3 m'
_space_group_IT_number 216
_space_group_name_Hall 'F -4 2 3'
_cell_length_a 7.1427
_cell_length_b 7.1427
_cell_length_c 7.1427
_cell_angle_alpha 90.00
_cell_angle_beta 90.00
_cell_angle_gamma 90.00
loop_
_atom_site_label
_atom_site_type_symbol
_atom_site_fract_x
_atom_site_fract_y
_atom_site_fract_z
_atom_site_occupancy
Gd1 Gd 0.0000 0.0000 0.0000 1
Tl1 Tl 0.0000 0.0000 0.5000 1
Ga1 Ga 0.2500 0.2500 0.2500 1
Au1 Au 0.2500 0.2500 0.7500 1
```

Computed properties:
Magnetic moment: 1.7652 μB per atom
Formation energy: -1.66 eV per formula unit

***

SmSO4F: optimized geometry, GGA-PBE.

Structure (CIF):
```
data_SmSO4F
_chemical_formula_sum 'Sm4 S4 O16 F4'
_space_group_name_H-M_alt 'C 1 2/m 1'
_space_group_IT_number 12
_cell_length_a 9.1549
_cell_length_b 7.1301
_cell_length_c 6.5468
_cell_angle_alpha 90.00
_cell_angle_beta 105.36
_cell_angle_gamma 90.00
loop_
_space_group_symop_operation_xyz
'x,y,z'
'-x,-y,-z'
'-x,y,-z'
'x,-y,z'
'x+1/2,y+1/2,z'
'-x+1/2,-y+1/2,-z'
'-x+1/2,y+1/2,-z'
'x+1/2,-y+1/2,z'
loop_
_atom_site_label
_atom_site_type_symbol
_atom_site_fract_x
_atom_site_fract_y
_atom_site_fract_z
_atom_site_occupancy
Sm1 Sm 0.2097 0.0000 0.1283 1
S1 S 0.1477 0.5000 0.2725 1
O1 O 0.0149 0.5000 0.7453 1
O2 O 0.1899 0.3342 0.1552 1
O3 O 0.2381 0.5000 0.4929 1
F1 F 0.0227 0.0000 0.8188 1
```

Computed properties:
Formation energy from raw total energies: -2510 meV per atom
Magnetic moment: 0.0000 μB per atom

***

CaSi2Pd7: optimized geometry, GGA-PBE.

Structure (CIF):
```
data_CaSi2Pd7
_chemical_formula_sum 'Ca2 Si4 Pd14'
_space_group_name_H-M_alt 'C m m m'
_space_group_IT_number 65
_space_group_name_Hall '-C 2 2'
_cell_length_a 7.2749
_cell_length_b 11.7388
_cell_length_c 4.5320
_cell_angle_alpha 90.00
_cell_angle_beta 90.00
_cell_angle_gamma 90.00
loop_
_atom_site_label
_atom_site_type_symbol
_atom_site_fract_x
_atom_site_fract_y
_atom_site_fract_z
_atom_site_occupancy
Ca1 Ca 0.0000 0.0000 0.0000 1
Si1 Si 0.0000 0.3010 0.5000 1
Pd1 Pd 0.0000 0.2479 0.0000 1
Pd2 Pd 0.0000 0.5000 0.5000 1
Pd3 Pd 0.1919 0.1310 0.5000 1
```

Computed properties:
Formation energy from raw total energies: -365 meV per atom
Magnetic moment: 0.0000 μB per atom

***

Tb3Y6Er: optimized geometry, GGA-PBE.

Structure (CIF):
```
data_Tb3Y6Er
_chemical_formula_sum 'Tb12 Y24 Er4'
_space_group_name_H-M_alt 'C m c 21'
_space_group_IT_number 36
_cell_length_a 9.6342
_cell_length_b 21.0135
_cell_length_c 6.3903
_cell_angle_alpha 90.00
_cell_angle_beta 90.00
_cell_angle_gamma 90.00
loop_
_space_group_symop_operation_xyz
'x,y,z'
'-x,-y,z+1/2'
'-x,y,z'
'x,-y,z+1/2'
'x+1/2,y+1/2,z'
'-x+1/2,-y+1/2,z+1/2'
'-x+1/2,y+1/2,z'
'x+1/2,-y+1/2,z+1/2'
loop_
_atom_site_label
_atom_site_type_symbol
_atom_site_fract_x
_atom_site_fract_y
_atom_site_fract_z
_atom_site_occupancy
Tb1 Tb 0.0000 0.0800 0.0000 1
Tb2 Tb 0.1678 0.3722 0.3958 1
Y1 Y 0.0000 0.1988 0.6966 1
Y2 Y 0.0000 0.4854 0.7255 1
Y3 Y 0.1764 0.2186 0.2343 1
Y4 Y 0.1821 0.0607 0.4752 1
Er1 Er 0.0000 0.3394 0.9245 1
```

Computed properties:
Magnetic moment: 0.0000 μB per atom
Formation energy: 1.14 eV per formula unit
Distance to the lowest polymorph of the same formula: 0.0 kJ per mole of atoms

***

What is the magnetic moment in the first record? 0.0006 μB per atom